(1)
Density functional theory data (SCAN) for a PBEsol-optimized structure of Rh3BrO.

The space group is Pm-3m (No. 221) and the conventional cell measures 4.528, 4.528 and 4.528 Å, with angles of 90.00, 90.00 and 90.00 degrees. The inequivalent atoms are Rh at (0.000, 0.000, 0.500), Br at (0.000, 0.000, 0.000) and O at (0.500, 0.500, 0.500).

For the formation energy (no corrections), the calculation gives 1.6229 eV/atom. For the volume, the calculation gives 92.9 Å³/cell. As for the crystal system: cubic. As for the total energy: -23.78 eV/atom.

=====

(2)
Density functional theory data (SCAN) for a PBEsol-optimized structure of RhBr3O.

The space group is Pm-3m (No. 221) and the conventional cell measures 4.934, 4.934 and 4.934 Å, with angles of 90.00, 90.00 and 90.00 degrees. The inequivalent atoms are Rh at (0.000, 0.000, 0.000), Br at (0.000, 0.000, 0.500) and O at (0.500, 0.500, 0.500).

For the formation energy (no corrections), the calculation gives 0.5538 eV/atom. For the volume, the calculation gives 120.1 Å³/cell. As for the crystal system: cubic. As for the total energy: -19.12 eV/atom.

=====

(3)
Density functional theory data (SCAN) for a PBEsol-optimized structure of Ru3BrO.

The space group is Pm-3m (No. 221) and the conventional cell measures 4.510, 4.510 and 4.510 Å, with angles of 90.00, 90.00 and 90.00 degrees. The inequivalent atoms are Ru at (0.000, 0.000, 0.500), Br at (0.000, 0.000, 0.000) and O at (0.500, 0.500, 0.500).

For the formation energy (no corrections), the calculation gives 2.1350 eV/atom. For the volume, the calculation gives 91.7 Å³/cell. As for the crystal system: cubic. As for the total energy: -23.90 eV/atom.

=====

(4)
Density functional theory data (SCAN) for a PBEsol-optimized structure of RuSeBr2O.

The space group is P4/mmm (No. 123) and the conventional cell measures 5.064, 5.064 and 4.569 Å, with angles of 90.00, 90.00 and 90.00 degrees. The inequivalent atoms are Ru at (0.000, 0.000, 0.000), Se at (0.000, 0.000, 0.500), Br at (0.000, 0.500, 0.000) and O at (0.500, 0.500, 0.500).

For the formation energy (no corrections), the calculation gives 0.6861 eV/atom. For the volume, the calculation gives 117.2 Å³/cell. As for the crystal system: tetragonal. As for the total energy: -19.32 eV/atom.